! PBE TaGaTeW2, relaxed; values from VASP
! - Formation energy (no corrections): 1.977 eV per atom
! - Spin magnetization: 0.7202 μB/atom
! - Space group: No. 123
&SYSTEM
  ibrav = 0, nat = 5, ntyp = 4
/
ATOMIC_SPECIES
Ta 180.95 Ta.upf
Te 127.60 Te.upf
W 183.84 W.upf
Ga 69.72 Ga.upf
CELL_PARAMETERS angstrom
-3.9350 0.6300 2.9578
3.1553 -0.4275 4.2888
0.7426 4.9066 -0.0573
ATOMIC_POSITIONS crystal
Ta 0.0000 0.0000 0.0000
Te 0.0000 0.5000 0.0000
W 0.0000 0.0000 0.5000
W 0.5000 0.0000 0.0000
Ga 0.5000 0.5000 0.5000

! PBE Ac2DyMnS6, relaxed; values from VASP
! - Formation energy (no corrections): -1.680 eV per atom
! - Spin magnetization: 0.4000 μB/atom
! - Space group: No. 148
&SYSTEM
  ibrav = 0, nat = 10, ntyp = 4
/
ATOMIC_SPECIES
S 32.06 S.upf
Ac 227.00 Ac.upf
Dy 162.50 Dy.upf
Mn 54.94 Mn.upf
CELL_PARAMETERS angstrom
-2.7304 -1.3225 -6.4963
3.3346 -4.5400 -4.4274
-2.7100 -6.1232 -1.5737
ATOMIC_POSITIONS crystal
S 0.1672 0.9899 0.3009
S 0.5423 0.1670 0.3011
S 0.0900 0.4653 0.8019
S 0.9896 0.5426 0.3008
S 0.4652 0.6424 0.8021
S 0.6427 0.0897 0.8022
Ac 0.5458 0.5459 0.3626
Ac 0.0864 0.0864 0.7405
Dy 0.8162 0.8162 0.5515
Mn 0.3161 0.3161 0.0516

! PBE Pa2PtAu, relaxed; values from VASP
! - Formation energy from the elements: -23.5 meV per atom
! - Spin magnetization: 0.0000 μB/atom
! - Space group: No. 166
&SYSTEM
  ibrav = 0, nat = 4, ntyp = 3
/
ATOMIC_SPECIES
Pt 195.08 Pt.upf
Pa 231.04 Pa.upf
Au 196.97 Au.upf
CELL_PARAMETERS angstrom
-2.6405 -1.6188 -0.3937
-0.0986 -2.3509 -2.0522
2.0871 -8.0580 6.7554
ATOMIC_POSITIONS crystal
Pt 0.0000 0.0000 0.0000
Pa 0.0854 0.0854 0.7437
Pa 0.9146 0.9146 0.2563
Au 0.5000 0.5000 0.5000

! PBE Ca2PuPd9, relaxed; values from VASP
! - Formation energy from the elements: -531.5 meV per atom
! - Spin magnetization: 0.3683 μB/atom
! - Space group: No. 123
&SYSTEM
  ibrav = 0, nat = 12, ntyp = 3
/
ATOMIC_SPECIES
Pd 106.42 Pd.upf
Ca 40.08 Ca.upf
Pu 244.00 Pu.upf
CELL_PARAMETERS angstrom
4.1410 0.0000 0.0000
0.0000 4.1410 0.0000
0.0000 0.0000 12.3710
ATOMIC_POSITIONS crystal
Pd 0.5000 0.5000 0.3327
Pd 0.0000 0.5000 0.5000
Pd 0.5000 0.0000 0.5000
Pd 0.5000 0.0000 0.8379
Pd 0.5000 0.5000 0.6673
Pd 0.0000 0.5000 0.1621
Pd 0.5000 0.5000 0.0000
Pd 0.0000 0.5000 0.8379
Pd 0.5000 0.0000 0.1621
Ca 0.0000 0.0000 0.6654
Ca 0.0000 0.0000 0.3346
Pu 0.0000 0.0000 0.0000